Below is a relaxed Sc5Sn3S12 crystal, with properties calculated at the PBE level.

Cell lengths 13.526, 13.526, 13.526 Å; angles 109.47, 109.47, 109.47 degrees
Positions (direct):
Sc (0.000, 0.000, 0.000)
Sc (0.000, 0.000, 0.500)
Sc (0.000, 0.500, 0.000)
Sc (0.000, 0.500, 0.500)
Sc (0.125, 0.750, 0.875)
Sc (0.125, 0.875, 0.250)
Sc (0.250, 0.125, 0.875)
Sc (0.250, 0.625, 0.375)
Sc (0.375, 0.250, 0.625)
Sc (0.375, 0.625, 0.750)
Sc (0.500, 0.000, 0.000)
Sc (0.500, 0.000, 0.500)
Sc (0.500, 0.500, 0.000)
Sc (0.500, 0.500, 0.500)
Sc (0.625, 0.375, 0.250)
Sc (0.625, 0.750, 0.375)
Sc (0.750, 0.375, 0.625)
Sc (0.750, 0.875, 0.125)
Sc (0.875, 0.125, 0.750)
Sc (0.875, 0.250, 0.125)
Sn (0.125, 0.250, 0.375)
Sn (0.125, 0.375, 0.750)
Sn (0.250, 0.375, 0.125)
Sn (0.250, 0.875, 0.625)
Sn (0.375, 0.125, 0.250)
Sn (0.375, 0.750, 0.125)
Sn (0.625, 0.250, 0.875)
Sn (0.625, 0.875, 0.750)
Sn (0.750, 0.125, 0.375)
Sn (0.750, 0.625, 0.875)
Sn (0.875, 0.625, 0.250)
Sn (0.875, 0.750, 0.625)
S (0.039, 0.215, 0.123)
S (0.039, 0.324, 0.916)
S (0.084, 0.623, 0.408)
S (0.084, 0.961, 0.676)
S (0.092, 0.715, 0.676)
S (0.092, 0.877, 0.416)
S (0.123, 0.039, 0.215)
S (0.123, 0.584, 0.908)
S (0.176, 0.215, 0.592)
S (0.176, 0.461, 0.584)
S (0.215, 0.123, 0.039)
S (0.215, 0.592, 0.176)
S (0.285, 0.324, 0.908)
S (0.285, 0.461, 0.377)
S (0.324, 0.908, 0.285)
S (0.324, 0.916, 0.039)
S (0.377, 0.285, 0.461)
S (0.377, 0.592, 0.916)
S (0.408, 0.084, 0.623)
S (0.408, 0.824, 0.785)
S (0.416, 0.092, 0.877)
S (0.416, 0.824, 0.539)
S (0.461, 0.377, 0.285)
S (0.461, 0.584, 0.176)
S (0.539, 0.416, 0.824)
S (0.539, 0.623, 0.715)
S (0.584, 0.176, 0.461)
S (0.584, 0.908, 0.123)
S (0.592, 0.176, 0.215)
S (0.592, 0.916, 0.377)
S (0.623, 0.408, 0.084)
S (0.623, 0.715, 0.539)
S (0.676, 0.084, 0.961)
S (0.676, 0.092, 0.715)
S (0.715, 0.539, 0.623)
S (0.715, 0.676, 0.092)
S (0.785, 0.408, 0.824)
S (0.785, 0.877, 0.961)
S (0.824, 0.539, 0.416)
S (0.824, 0.785, 0.408)
S (0.877, 0.416, 0.092)
S (0.877, 0.961, 0.785)
S (0.908, 0.123, 0.584)
S (0.908, 0.285, 0.324)
S (0.916, 0.039, 0.324)
S (0.916, 0.377, 0.592)
S (0.961, 0.676, 0.084)
S (0.961, 0.785, 0.877)

crystal system	cubic
DOS(E_F)	0.759	states/eV per atom
space-group type	Ia-3d, No. 230
magnetic moment	0.00	μB per atom
calculated volume	476	Å³/f.u.
formation energy (no corrections)	-102	kJ/mol of atoms

Below is a relaxed ScSnS2 crystal, with properties calculated at the PBE level.

Cell lengths 8.613, 8.613, 8.613 Å; angles 24.62, 24.62, 24.62 degrees
Positions (direct):
Sc (0.000, 0.000, 0.000)
Sn (0.500, 0.500, 0.500)
S (0.391, 0.391, 0.391)
S (0.609, 0.609, 0.609)

crystal system	trigonal
DOS(E_F)	0.142	states/eV per atom
space-group type	R-3m, No. 166
magnetic moment	0.00	μB per atom
calculated volume	97	Å³/f.u.
formation energy (no corrections)	-117	kJ/mol of atoms

Below is a relaxed ScSnS3 crystal, with properties calculated at the PBE level.

Cell lengths 6.571, 6.571, 6.565 Å; angles 90.00, 90.00, 120.00 degrees
Positions (direct):
Sc (0.000, 0.000, 0.000)
Sc (0.000, 0.000, 0.500)
Sn (0.667, 0.333, 0.000)
Sn (0.667, 0.333, 0.500)
S (0.317, 0.018, 0.250)
S (0.317, 0.299, 0.750)
S (0.701, 0.018, 0.750)
S (0.701, 0.683, 0.250)
S (0.982, 0.299, 0.250)
S (0.982, 0.683, 0.750)

crystal system	hexagonal
excess energy over the best structure of this formula in the dataset	0.000	eV per atom
DOS(E_F)	0.420	states/eV per atom
space-group type	P-6c2, No. 188
magnetic moment	0.00	μB per atom
calculated volume	123	Å³/f.u.
formation energy (no corrections)	-95	kJ/mol of atoms

Below is a relaxed Sc7SnS5 crystal, with properties calculated at the PBE level.

Cell lengths 6.416, 6.416, 22.026 Å; angles 90.00, 90.00, 146.54 degrees
Positions (direct):
Sc (0.008, 0.992, 0.750)
Sc (0.138, 0.862, 0.035)
Sc (0.138, 0.862, 0.465)
Sc (0.324, 0.676, 0.672)
Sc (0.324, 0.676, 0.828)
Sc (0.407, 0.593, 0.113)
Sc (0.407, 0.593, 0.387)
Sc (0.593, 0.407, 0.613)
Sc (0.593, 0.407, 0.887)
Sc (0.676, 0.324, 0.172)
Sc (0.676, 0.324, 0.328)
Sc (0.862, 0.138, 0.535)
Sc (0.862, 0.138, 0.965)
Sc (0.992, 0.008, 0.250)
Sn (0.306, 0.694, 0.250)
Sn (0.694, 0.306, 0.750)
S (0.046, 0.954, 0.139)
S (0.046, 0.954, 0.361)
S (0.225, 0.775, 0.571)
S (0.225, 0.775, 0.929)
S (0.500, 0.500, 0.000)
S (0.500, 0.500, 0.500)
S (0.775, 0.225, 0.071)
S (0.775, 0.225, 0.429)
S (0.954, 0.046, 0.639)
S (0.954, 0.046, 0.861)

crystal system	orthorhombic
DOS(E_F)	0.628	states/eV per atom
space-group type	Cmcm, No. 63
magnetic moment	0.00	μB per atom
calculated volume	250	Å³/f.u.
formation energy (no corrections)	-153	kJ/mol of atoms

Below is a relaxed Sc2SnS2 crystal, with properties calculated at the PBE level.

Cell lengths 6.550, 6.550, 6.550 Å; angles 139.83, 139.83, 58.11 degrees
Positions (direct):
Sc (0.147, 0.147, 0.000)
Sc (0.853, 0.853, 0.000)
Sn (0.500, 0.500, 0.000)
S (0.250, 0.750, 0.500)
S (0.750, 0.250, 0.500)

crystal system	tetragonal
excess energy over the best structure of this formula in the dataset	0.063	eV per atom
DOS(E_F)	1.040	states/eV per atom
space-group type	I4/mmm, No. 139
magnetic moment	0.00	μB per atom
calculated volume	116	Å³/f.u.
formation energy (no corrections)	-95	kJ/mol of atoms

Below is a relaxed ScSnS4 crystal, with properties calculated at the PBE level.

Cell lengths 5.747, 3.701, 6.576 Å; angles 90.00, 98.41, 90.00 degrees
Positions (direct):
Sc (0.000, 0.000, 0.000)
Sn (0.000, 0.500, 0.500)
S (0.247, 0.500, 0.199)
S (0.252, 0.000, 0.697)
S (0.748, 0.000, 0.303)
S (0.753, 0.500, 0.801)

crystal system	monoclinic
DOS(E_F)	0.795	states/eV per atom
space-group type	P2/m, No. 10
magnetic moment	0.00	μB per atom
calculated volume	138	Å³/f.u.
formation energy (no corrections)	-75	kJ/mol of atoms

Below is a relaxed ScSnS3 crystal, with properties calculated at the PBE level.

Cell lengths 4.930, 4.930, 4.930 Å; angles 90.00, 90.00, 90.00 degrees
Positions (direct):
Sc (0.000, 0.000, 0.000)
Sn (0.500, 0.500, 0.500)
S (0.000, 0.500, 0.500)
S (0.500, 0.000, 0.500)
S (0.500, 0.500, 0.000)

crystal system	cubic
excess energy over the best structure of this formula in the dataset	0.828	eV per atom
DOS(E_F)	1.046	states/eV per atom
space-group type	Pm-3m, No. 221
magnetic moment	0.07	μB per atom
calculated volume	120	Å³/f.u.
formation energy (no corrections)	-15	kJ/mol of atoms

Below is a relaxed Sc2SnS4 crystal, with properties calculated at the PBE level.

Cell lengths 6.507, 6.507, 12.898 Å; angles 90.00, 90.00, 146.38 degrees
Positions (direct):
Sc (0.139, 0.861, 0.563)
Sc (0.139, 0.861, 0.937)
Sc (0.861, 0.139, 0.063)
Sc (0.861, 0.139, 0.437)
Sn (0.406, 0.594, 0.750)
Sn (0.594, 0.406, 0.250)
S (0.061, 0.939, 0.750)
S (0.233, 0.767, 0.113)
S (0.233, 0.767, 0.387)
S (0.500, 0.500, 0.000)
S (0.500, 0.500, 0.500)
S (0.767, 0.233, 0.613)
S (0.767, 0.233, 0.887)
S (0.939, 0.061, 0.250)

crystal system	orthorhombic
space-group type	Cmcm, No. 63
magnetic moment	0.00	μB per atom
calculated volume	151	Å³/f.u.
formation energy (no corrections)	-141	kJ/mol of atoms

Q: Which formula does entry 7 have?
A: ScSnS3

Q: Which of these has the highest magnetic moment?
A: number 7